InAsSCl2: optimized geometry, PBEsol.

Results
* mass density: 4.0 Mg/m³
* SG: P4/mmm, No. 123
* raw formation energy: -32 kJ/mol of atoms

POSCAR file:
```
InAsSCl2
1.0
5.035 0.000 0.000
0.000 5.035 0.000
0.000 0.000 4.766
In As S Cl
1 1 1 2
direct
0.000 0.000 0.000
0.500 0.500 0.500
0.500 0.500 0.000
0.000 0.500 0.500
0.500 0.000 0.500
```


HfInO2F: optimized geometry, PBEsol.

Results
* mass density: 8.0 Mg/m³
* SG: P4/mmm, No. 123
* raw formation energy: -250 kJ/mol of atoms

POSCAR file:
```
HfInO2F
1.0
4.105 0.000 0.000
0.000 4.105 0.000
0.000 0.000 4.241
Hf In O F
1 1 2 1
direct
0.000 0.000 0.000
0.500 0.500 0.500
0.000 0.500 0.000
0.500 0.000 0.000
0.000 0.000 0.500
```


Tl2Te: optimized geometry, PBEsol.

Results
* mass density: 8.9 Mg/m³
* SG: P-3m1, No. 164
* ΔE to the lowest computed polymorph: 30.6 meV/atom
* raw formation energy: -21 kJ/mol of atoms

POSCAR file:
```
Tl2Te
1.0
4.762 0.000 0.000
-2.381 4.124 0.000
0.000 0.000 5.070
Tl Te
2 1
direct
0.333 0.667 0.319
0.667 0.333 0.681
0.000 0.000 0.000
```


Sr3HfN: optimized geometry, PBEsol.

Results
* mass density: 5.2 Mg/m³
* SG: Pm-3m, No. 221
* raw formation energy: 30 kJ/mol of atoms

POSCAR file:
```
Sr3HfN
1.0
5.245 0.000 0.000
0.000 5.245 0.000
0.000 0.000 5.245
Sr Hf N
3 1 1
direct
0.000 0.000 0.500
0.000 0.500 0.000
0.500 0.000 0.000
0.500 0.500 0.500
0.000 0.000 0.000
```


CdHgMo: optimized geometry, PBEsol.

Results
* mass density: 12.5 Mg/m³
* SG: I4mm, No. 107
* energy of formation: 9.442 kcal/mol of atoms

POSCAR file:
```
CdHgMo
1.0
-1.418 1.418 6.764
1.418 -1.418 6.764
1.418 1.418 -6.764
Cd Hg Mo
1 1 1
direct
0.000 0.000 0.000
0.680 0.680 0.000
0.341 0.341 0.000
```


AlAg2P: optimized geometry, PBEsol.

Results
* mass density: 6.9 Mg/m³
* SG: Fm-3m, No. 225
* ΔE to the lowest computed polymorph: 120.1 meV/atom
* energy of formation: 5.046 kcal/mol of atoms

POSCAR file:
```
AlAg2P
1.0
0.000 3.208 3.208
3.208 0.000 3.208
3.208 3.208 0.000
Al Ag P
1 2 1
direct
0.000 0.000 0.000
0.250 0.250 0.250
0.750 0.750 0.750
0.500 0.500 0.500
```


KGa2Rh2: optimized geometry, PBEsol.

Results
* mass density: 6.8 Mg/m³
* SG: I4/mmm, No. 139
* energy of formation: -3.193 kcal/mol of atoms

POSCAR file:
```
KGa2Rh2
1.0
-2.115 2.115 5.210
2.115 -2.115 5.210
2.115 2.115 -5.210
K Ga Rh
1 2 2
direct
0.000 0.000 0.000
0.250 0.750 0.500
0.750 0.250 0.500
0.377 0.377 0.000
0.623 0.623 0.000
```


LiFe2Pb: optimized geometry, PBEsol.

Results
* mass density: 8.8 Mg/m³
* SG: Pmmm, No. 47
* energy of formation: 11.645 kcal/mol of atoms

POSCAR file:
```
LiFe2Pb
1.0
2.870 0.000 0.000
0.000 4.009 0.000
0.000 0.000 5.341
Li Fe Pb
1 2 1
direct
0.000 0.000 0.000
0.500 0.500 0.221
0.500 0.500 0.779
0.000 0.000 0.500
```